1.
First-principles (PBE) data for a geometry-optimized La2GdIr structure, as listed in the Alexandria database.

Space-group type   P4/mmm (123)
Formation energy from the elements   -0.291 eV/atom
Polymorph energy (0 for the lowest one)   0.00 kJ per mole of atoms

a = 3.6940 Å, b = 3.6940 Å, c = 8.7195 Å
α = 90.00°, β = 90.00°, γ = 90.00°
Atoms (fractional coordinates):
Gd  0.5000  0.5000  0.5000
Ir  0.5000  0.5000  0.0000
La  0.0000  0.0000  0.8099
La  0.0000  0.0000  0.1901


2.
First-principles (PBE) data for a geometry-optimized AlCo2Se structure, as listed in the Alexandria database.

Space-group type   Imm2 (44)
Uncorrected formation energy   -0.05 eV per atom
Polymorph energy (0 for the lowest one)   3.96 kJ per mole of atoms

a = 5.4739 Å, b = 5.4739 Å, c = 5.4739 Å
α = 147.99°, β = 141.08°, γ = 51.25°
Atoms (fractional coordinates):
Co  0.9607  0.9607  0.0000
Co  0.7173  0.2173  0.5000
Al  0.2851  0.7851  0.5000
Se  0.5368  0.5368  0.0000


3.
First-principles (PBE) data for a geometry-optimized GdTh2Ga structure, as listed in the Alexandria database.

Space-group type   P4/mmm (123)
Formation energy from the elements   -0.124 eV/atom
Polymorph energy (0 for the lowest one)   4.97 kJ per mole of atoms

a = 3.9852 Å, b = 3.9852 Å, c = 7.2014 Å
α = 90.00°, β = 90.00°, γ = 90.00°
Atoms (fractional coordinates):
Gd  0.5000  0.5000  0.5000
Ga  0.5000  0.5000  0.0000
Th  0.0000  0.0000  0.7866
Th  0.0000  0.0000  0.2134


4.
First-principles (PBE) data for a geometry-optimized Tb2Sc2Tl2O structure, as listed in the Alexandria database.

Space-group type   I4/mmm (139)
Uncorrected formation energy   -1.14 eV per atom

a = 4.4534 Å, b = 4.4534 Å, c = 8.6244 Å
α = 104.96°, β = 104.96°, γ = 90.00°
Atoms (fractional coordinates):
Tb  0.1661  0.1661  0.3322
Tb  0.8339  0.8339  0.6678
Sc  0.0000  0.5000  0.0000
Sc  0.5000  0.0000  0.0000
Tl  0.3658  0.3658  0.7316
Tl  0.6342  0.6342  0.2684
O  0.0000  0.0000  0.0000


5.
First-principles (PBE) data for a geometry-optimized HoTh4Co4 structure, as listed in the Alexandria database.

Space-group type   P4_2/n (86)
Formation energy from the elements   -0.240 eV/atom

a = 5.5688 Å, b = 8.6175 Å, c = 8.6175 Å
α = 90.00°, β = 90.00°, γ = 90.00°
Atoms (fractional coordinates):
Ho  0.0000  0.0000  0.0000
Ho  0.5000  0.5000  0.5000
Th  0.4372  0.3061  0.9117
Th  0.9372  0.5883  0.8061
Th  0.4372  0.6939  0.0883
Th  0.0628  0.1939  0.5883
Th  0.5628  0.9117  0.6939
Th  0.0628  0.8061  0.4117
Th  0.9372  0.4117  0.1939
Th  0.5628  0.0883  0.3061
Co  0.5727  0.7909  0.3735
Co  0.5727  0.2091  0.6265
Co  0.0727  0.8735  0.7091
Co  0.9273  0.2909  0.8735
Co  0.9273  0.7091  0.1265
Co  0.4273  0.3735  0.2091
Co  0.4273  0.6265  0.7909
Co  0.0727  0.1265  0.2909


6.
First-principles (PBE) data for a geometry-optimized La4TeAs2Pb structure, as listed in the Alexandria database.

Space-group type   P2/m (10)
Uncorrected formation energy   -1.35 eV per atom

a = 4.4184 Å, b = 7.9086 Å, c = 7.7969 Å
α = 71.45°, β = 90.00°, γ = 90.00°
Atoms (fractional coordinates):
La  0.0000  0.7713  0.7417
La  0.0000  0.2287  0.2583
La  0.5000  0.7722  0.2398
La  0.5000  0.2278  0.7602
Te  0.0000  0.5000  0.5000
As  0.0000  0.0000  0.0000
As  0.5000  0.0000  0.5000
Pb  0.5000  0.5000  0.0000


7.
First-principles (PBE) data for a geometry-optimized YSbRu2 structure, as listed in the Alexandria database.

Space-group type   P4/mmm (123)
Uncorrected formation energy   -0.24 eV per atom

a = 3.3349 Å, b = 3.3429 Å, c = 7.3986 Å
α = 63.11°, β = 90.00°, γ = 90.00°
Atoms (fractional coordinates):
Ru  0.0000  0.9753  0.0244
Ru  0.0000  0.5247  0.4756
Sb  0.5000  0.2500  0.2500
Y  0.5000  0.7500  0.7500


8.
First-principles (PBE) data for a geometry-optimized Li2TaTc structure, as listed in the Alexandria database.

Space-group type   Pm (6)
Formation energy from the elements   0.243 eV/atom
Polymorph energy (0 for the lowest one)   9.88 kJ per mole of atoms

a = 4.2590 Å, b = 2.6544 Å, c = 5.6515 Å
α = 82.83°, β = 90.00°, γ = 90.00°
Atoms (fractional coordinates):
Li  0.0000  0.0525  0.0013
Li  0.5000  0.1689  0.2352
Ta  0.0000  0.5138  0.5237
Tc  0.5000  0.7648  0.7399


What did the fifth record say?
First-principles (PBE) data for a geometry-optimized HoTh4Co4 structure, as listed in the Alexandria database.

Space-group type   P4_2/n (86)
Formation energy from the elements   -0.240 eV/atom

a = 5.5688 Å, b = 8.6175 Å, c = 8.6175 Å
α = 90.00°, β = 90.00°, γ = 90.00°
Atoms (fractional coordinates):
Ho  0.0000  0.0000  0.0000
Ho  0.5000  0.5000  0.5000
Th  0.4372  0.3061  0.9117
Th  0.9372  0.5883  0.8061
Th  0.4372  0.6939  0.0883
Th  0.0628  0.1939  0.5883
Th  0.5628  0.9117  0.6939
Th  0.0628  0.8061  0.4117
Th  0.9372  0.4117  0.1939
Th  0.5628  0.0883  0.3061
Co  0.5727  0.7909  0.3735
Co  0.5727  0.2091  0.6265
Co  0.0727  0.8735  0.7091
Co  0.9273  0.2909  0.8735
Co  0.9273  0.7091  0.1265
Co  0.4273  0.3735  0.2091
Co  0.4273  0.6265  0.7909
Co  0.0727  0.1265  0.2909


What did the sixth record say?
First-principles (PBE) data for a geometry-optimized La4TeAs2Pb structure, as listed in the Alexandria database.

Space-group type   P2/m (10)
Uncorrected formation energy   -1.35 eV per atom

a = 4.4184 Å, b = 7.9086 Å, c = 7.7969 Å
α = 71.45°, β = 90.00°, γ = 90.00°
Atoms (fractional coordinates):
La  0.0000  0.7713  0.7417
La  0.0000  0.2287  0.2583
La  0.5000  0.7722  0.2398
La  0.5000  0.2278  0.7602
Te  0.0000  0.5000  0.5000
As  0.0000  0.0000  0.0000
As  0.5000  0.0000  0.5000
Pb  0.5000  0.5000  0.0000